Entry 1:
Computed, not measured: a relaxed K2ZnIr crystal at the PBE level of DFT.

Calculated total energy in eV per atom: -2.6959

abc: 5.945 5.945 5.945
angles: 136.07 123.07 74.58
Sites, in units of the cell vectors:
K: 0.000 0.000 0.000
K: 0.695 0.195 0.500
Zn: 0.293 0.793 0.500
Ir: 0.389 0.389 0.000


Entry 2:
Computed, not measured: a relaxed Pm8NiPb3 crystal at the PBE level of DFT.

Calculated total energy in eV per atom: -4.7618

abc: 9.064 9.064 9.064
angles: 131.93 131.93 70.33
Sites, in units of the cell vectors:
Pm: 0.119 0.119 0.470
Pm: 0.119 0.649 0.000
Pm: 0.351 0.351 0.470
Pm: 0.351 0.881 0.000
Pm: 0.649 0.119 0.000
Pm: 0.649 0.649 0.530
Pm: 0.881 0.351 0.000
Pm: 0.881 0.881 0.530
Ni: 0.000 0.000 0.000
Pb: 0.250 0.750 0.500
Pb: 0.500 0.500 0.000
Pb: 0.750 0.250 0.500


Entry 3:
Computed, not measured: a relaxed BiAu3S crystal at the PBE level of DFT.

Polymorph energy (0 for the lowest one) in meV per atom: 0
Formation energy without anion corrections in eV per atom: 0.4381

abc: 4.884 4.884 4.884
angles: 90.00 90.00 90.00
Sites, in units of the cell vectors:
Bi: 0.000 0.000 0.000
Au: 0.000 0.500 0.500
Au: 0.500 0.000 0.500
Au: 0.500 0.500 0.000
S: 0.500 0.500 0.500


Entry 4:
Computed, not measured: a relaxed BiTeI2O crystal at the PBE level of DFT.

Polymorph energy (0 for the lowest one) in meV per atom: 284
Formation energy without anion corrections in eV per atom: 0.3025

abc: 5.311 5.311 4.703
angles: 90.00 90.00 90.00
Sites, in units of the cell vectors:
Bi: 0.000 0.000 0.000
Te: 0.500 0.500 0.000
I: 0.000 0.500 0.500
I: 0.500 0.000 0.500
O: 0.500 0.500 0.500


Entry 5:
Computed, not measured: a relaxed Mn2CrTc crystal at the PBE level of DFT.

Polymorph energy (0 for the lowest one) in meV per atom: 0

abc: 4.778 4.778 4.778
angles: 143.65 129.08 64.17
Sites, in units of the cell vectors:
Mn: 0.243 0.243 0.000
Mn: 0.757 0.757 0.000
Cr: 0.000 0.500 0.500
Tc: 0.500 0.000 0.500


Entry 6:
Computed, not measured: a relaxed HfBe2Mo2 crystal at the PBE level of DFT.

Polymorph energy (0 for the lowest one) in meV per atom: 440

abc: 5.036 5.036 5.036
angles: 129.31 129.31 74.51
Sites, in units of the cell vectors:
Hf: 0.000 0.000 0.000
Be: 0.250 0.750 0.500
Be: 0.750 0.250 0.500
Mo: 0.346 0.346 0.000
Mo: 0.654 0.654 0.000


Entry 7:
Computed, not measured: a relaxed LiRe2Se crystal at the PBE level of DFT.

Formation energy without anion corrections in eV per atom: 0.6461

abc: 8.726 8.726 8.726
angles: 19.09 19.09 19.09
Sites, in units of the cell vectors:
Li: 0.000 0.000 0.000
Re: 0.242 0.242 0.242
Re: 0.758 0.758 0.758
Se: 0.500 0.500 0.500


Entry 8:
Computed, not measured: a relaxed NdDy2Pb crystal at the PBE level of DFT.

Polymorph energy (0 for the lowest one) in meV per atom: 101

abc: 3.638 3.638 9.399
angles: 90.00 90.00 90.00
Sites, in units of the cell vectors:
Nd: 0.000 0.000 0.000
Dy: 0.500 0.500 0.270
Dy: 0.500 0.500 0.730
Pb: 0.000 0.000 0.500


Entry 9:
Computed, not measured: a relaxed Ti4TcAu crystal at the PBE level of DFT.

Polymorph energy (0 for the lowest one) in meV per atom: 0

abc: 3.107 3.107 10.175
angles: 90.00 90.00 90.00
Sites, in units of the cell vectors:
Ti: 0.000 0.000 0.148
Ti: 0.000 0.000 0.852
Ti: 0.500 0.500 0.321
Ti: 0.500 0.500 0.679
Tc: 0.500 0.500 0.000
Au: 0.000 0.000 0.500


Entry 10:
Computed, not measured: a relaxed LiZnPd crystal at the PBE level of DFT.

Polymorph energy (0 for the lowest one) in meV per atom: 44

abc: 4.702 4.702 4.702
angles: 140.05 140.05 57.78
Sites, in units of the cell vectors:
Li: 0.000 0.000 0.000
Zn: 0.673 0.673 0.000
Pd: 0.336 0.336 0.000


Entry 11:
Computed, not measured: a relaxed ZrTc2 crystal at the PBE level of DFT.

Polymorph energy (0 for the lowest one) in meV per atom: 576

abc: 5.732 5.732 5.732
angles: 127.86 127.86 76.85
Sites, in units of the cell vectors:
Zr: 0.250 0.250 0.000
Zr: 0.750 0.750 0.000
Tc: 0.187 0.687 0.873
Tc: 0.313 0.187 0.500
Tc: 0.687 0.813 0.500
Tc: 0.813 0.313 0.127


Entry 12:
Computed, not measured: a relaxed Sc2TiRuSe crystal at the PBE level of DFT.

Formation energy without anion corrections in eV per atom: 0.7394

abc: 4.923 4.923 4.596
angles: 90.00 90.00 90.00
Sites, in units of the cell vectors:
Sc: 0.000 0.500 0.000
Sc: 0.500 0.000 0.000
Ti: 0.000 0.000 0.000
Ru: 0.500 0.500 0.500
Se: 0.000 0.000 0.500


| no. | density of states at the Fermi level (states/eV/atom) |
| --- | --- |
| 1 | 0.321 |
| 2 | 1.264 |
| 3 | 0.651 |
| 4 | 0.634 |
| 5 | 1.190 |
| 6 | 0.491 |
| 7 | 1.057 |
| 8 | 1.183 |
| 9 | 1.264 |
| 10 | 0.329 |
| 11 | 1.162 |
| 12 | 1.205 |